VASP calculation (PBE-GGA) on a relaxed CoSbP2S crystal.

Calculated volume, Å³ per cell: 91
ΔE_f (raw), eV per atom: 0.391

Unit cell a=4.2703 b=4.2703 c=4.9699 alpha=90.00 beta=90.00 gamma=90.00
Closest atoms and distances in Å follow each position.
Sites, in units of the cell vectors:
P 0.0000 0.5000 0.0000  2 Co 2.14
P 0.5000 0.0000 0.0000  2 Co 2.14
Sb 0.5000 0.5000 0.5000  4 S 3.02, 8 P 3.28
S 0.0000 0.0000 0.5000  2 Co 2.48
Co 0.0000 0.0000 0.0000  4 P 2.14